First-principles (GGA-PBE) data for an optimized crystal structure of Rb8I5O, as listed in Alexandria via LeMat-Bulk.

Cell lengths 10.5573, 10.5573, 10.5573 Å; angles 60.00, 60.00, 60.00 degrees
Fractional coordinates of all 14 atoms:
Rb: 0.3408 0.8864 0.8864
Rb: 0.3979 0.3979 0.3979
Rb: 0.3979 0.3979 0.8063
Rb: 0.3979 0.8063 0.3979
Rb: 0.8063 0.3979 0.3979
Rb: 0.8864 0.3408 0.8864
Rb: 0.8864 0.8864 0.3408
Rb: 0.8864 0.8864 0.8864
I: 0.1281 0.1281 0.1281
I: 0.1281 0.1281 0.6158
I: 0.1281 0.6158 0.1281
I: 0.6158 0.1281 0.1281
I: 0.7500 0.7500 0.7500
O: 0.5000 0.5000 0.5000



First-principles (GGA-PBE) data for an optimized crystal structure of Rb5I2O2, as listed in Alexandria via LeMat-Bulk.

Cell lengths 5.6089, 5.6089, 11.1879 Å; angles 90.00, 90.00, 90.00 degrees
Fractional coordinates of all 9 atoms:
Rb: 0.0000 0.0000 0.0000
Rb: 0.0000 0.5000 0.2722
Rb: 0.0000 0.5000 0.7278
Rb: 0.5000 0.0000 0.2722
Rb: 0.5000 0.0000 0.7278
I: 0.5000 0.5000 0.0000
I: 0.5000 0.5000 0.5000
O: 0.0000 0.0000 0.2262
O: 0.0000 0.0000 0.7738



First-principles (GGA-PBE) data for an optimized crystal structure of Rb2I3O8, as listed in Alexandria via LeMat-Bulk.

Cell lengths 7.6689, 7.6689, 5.6514 Å; angles 106.69, 106.69, 54.97 degrees
Fractional coordinates of all 13 atoms:
Rb: 0.2224 0.2224 0.1663
Rb: 0.7776 0.7776 0.8337
I: 0.2360 0.7640 0.5000
I: 0.5000 0.5000 0.0000
I: 0.7640 0.2360 0.5000
O: 0.0912 0.0912 0.4818
O: 0.1994 0.6291 0.1177
O: 0.3709 0.8006 0.8823
O: 0.4084 0.4084 0.6080
O: 0.5916 0.5916 0.3920
O: 0.6291 0.1994 0.1177
O: 0.8006 0.3709 0.8823
O: 0.9088 0.9088 0.5182



First-principles (GGA-PBE) data for an optimized crystal structure of Rb2IO, as listed in Alexandria via LeMat-Bulk.

Calculated values
Its energy above the most stable polymorph in this dataset is 0 meV/atom.

Cell lengths 8.2993, 5.6954, 12.1284 Å; angles 90.00, 90.00, 90.00 degrees
Fractional coordinates of all 16 atoms:
Rb: 0.0851 0.2500 0.2134
Rb: 0.1347 0.2500 0.5597
Rb: 0.3653 0.7500 0.0597
Rb: 0.4149 0.7500 0.7134
Rb: 0.5851 0.2500 0.2866
Rb: 0.6347 0.2500 0.9403
Rb: 0.8653 0.7500 0.4403
Rb: 0.9149 0.7500 0.7866
I: 0.1805 0.2500 0.8843
I: 0.3195 0.7500 0.3843
I: 0.6805 0.2500 0.6157
I: 0.8195 0.7500 0.1157
O: 0.1112 0.7500 0.6111
O: 0.3888 0.2500 0.1111
O: 0.6112 0.7500 0.8889
O: 0.8888 0.2500 0.3889



First-principles (GGA-PBE) data for an optimized crystal structure of Rb7I4O, as listed in Alexandria via LeMat-Bulk.

Cell lengths 10.2367, 10.2367, 12.7864 Å; angles 116.33, 116.33, 31.39 degrees
Fractional coordinates of all 12 atoms:
Rb: 0.0000 0.0000 0.0000
Rb: 0.1508 0.1508 0.5988
Rb: 0.3785 0.3785 0.0612
Rb: 0.3985 0.3985 0.7670
Rb: 0.6015 0.6015 0.2330
Rb: 0.6215 0.6215 0.9388
Rb: 0.8492 0.8492 0.4012
I: 0.0103 0.0103 0.7107
I: 0.2246 0.2246 0.1729
I: 0.7754 0.7754 0.8271
I: 0.9897 0.9897 0.2893
O: 0.5000 0.5000 0.0000



First-principles (GGA-PBE) data for an optimized crystal structure of Rb2IO, as listed in Alexandria via LeMat-Bulk.

Calculated values
Its energy above the most stable polymorph in this dataset is 48 meV/atom.

Cell lengths 7.4793, 7.4793, 7.4793 Å; angles 110.00, 110.00, 108.43 degrees
Fractional coordinates of all 8 atoms:
Rb: 0.0437 0.6250 0.9187
Rb: 0.3750 0.2937 0.4187
Rb: 0.7063 0.1250 0.0813
Rb: 0.8750 0.9563 0.5813
I: 0.2500 0.7500 0.5000
I: 0.5000 0.5000 0.0000
O: 0.0000 0.0000 0.0000
O: 0.7500 0.2500 0.5000



First-principles (GGA-PBE) data for an optimized crystal structure of Rb2IO6, as listed in Alexandria via LeMat-Bulk.

Cell lengths 6.6879, 6.6879, 3.8267 Å; angles 90.65, 90.65, 61.86 degrees
Fractional coordinates of all 9 atoms:
Rb: 0.1744 0.1744 0.4341
Rb: 0.8256 0.8256 0.5659
I: 0.5000 0.5000 0.0000
O: 0.1920 0.5672 0.0731
O: 0.3229 0.6771 0.5000
O: 0.4328 0.8080 0.9269
O: 0.5672 0.1920 0.0731
O: 0.6771 0.3229 0.5000
O: 0.8080 0.4328 0.9269



First-principles (GGA-PBE) data for an optimized crystal structure of Rb4IO, as listed in Alexandria via LeMat-Bulk.

Calculated values
Its energy above the most stable polymorph in this dataset is 0 meV/atom.

Cell lengths 5.6509, 8.1045, 12.5211 Å; angles 90.00, 103.08, 90.00 degrees
Fractional coordinates of all 12 atoms:
Rb: 0.0000 0.0000 0.0000
Rb: 0.0000 0.5000 0.0000
Rb: 0.1657 0.0113 0.3301
Rb: 0.1657 0.4887 0.3301
Rb: 0.4177 0.7500 0.8363
Rb: 0.5823 0.2500 0.1637
Rb: 0.8343 0.5113 0.6699
Rb: 0.8343 0.9887 0.6699
I: 0.4249 0.2500 0.8504
I: 0.5751 0.7500 0.1496
O: 0.0886 0.2500 0.1759
O: 0.9114 0.7500 0.8241



First-principles (GGA-PBE) data for an optimized crystal structure of Rb3I2O8, as listed in Alexandria via LeMat-Bulk.

Cell lengths 8.5189, 8.5189, 8.5189 Å; angles 44.37, 44.37, 44.37 degrees
Fractional coordinates of all 13 atoms:
Rb: 0.0000 0.0000 0.0000
Rb: 0.2008 0.2008 0.2008
Rb: 0.7992 0.7992 0.7992
I: 0.4054 0.4054 0.4054
I: 0.5946 0.5946 0.5946
O: 0.2561 0.7244 0.7244
O: 0.2756 0.2756 0.7439
O: 0.2756 0.7439 0.2756
O: 0.3259 0.3259 0.3259
O: 0.6741 0.6741 0.6741
O: 0.7244 0.2561 0.7244
O: 0.7244 0.7244 0.2561
O: 0.7439 0.2756 0.2756



First-principles (GGA-PBE) data for an optimized crystal structure of Rb4IO, as listed in Alexandria via LeMat-Bulk.

Calculated values
Its energy above the most stable polymorph in this dataset is 25 meV/atom.

Cell lengths 10.9231, 10.9231, 7.9613 Å; angles 101.45, 101.45, 44.13 degrees
Fractional coordinates of all 12 atoms:
Rb: 0.1207 0.6580 0.5468
Rb: 0.2037 0.2037 0.1325
Rb: 0.2093 0.7907 0.0000
Rb: 0.3420 0.8793 0.4532
Rb: 0.6580 0.1207 0.5468
Rb: 0.7907 0.2093 0.0000
Rb: 0.7963 0.7963 0.8675
Rb: 0.8793 0.3420 0.4532
I: 0.2618 0.2618 0.7125
I: 0.7382 0.7382 0.2875
O: 0.0860 0.0860 0.2147
O: 0.9140 0.9140 0.7853



First-principles (GGA-PBE) data for an optimized crystal structure of Rb7IO2, as listed in Alexandria via LeMat-Bulk.

Cell lengths 10.0477, 10.0477, 5.5976 Å; angles 90.00, 90.00, 98.26 degrees
Fractional coordinates of all 10 atoms:
Rb: 0.0000 0.0000 0.0000
Rb: 0.1986 0.1986 0.5000
Rb: 0.2074 0.4699 0.0000
Rb: 0.4699 0.2074 0.0000
Rb: 0.5301 0.7926 0.0000
Rb: 0.7926 0.5301 0.0000
Rb: 0.8014 0.8014 0.5000
I: 0.5000 0.5000 0.5000
O: 0.2156 0.2156 0.0000
O: 0.7844 0.7844 0.0000



First-principles (GGA-PBE) data for an optimized crystal structure of Rb5IO2, as listed in Alexandria via LeMat-Bulk.

Cell lengths 7.4532, 7.4532, 14.5404 Å; angles 90.00, 90.00, 133.01 degrees
Fractional coordinates of all 16 atoms:
Rb: 0.0445 0.9555 0.6068
Rb: 0.0445 0.9555 0.8932
Rb: 0.1865 0.8135 0.2500
Rb: 0.3253 0.6747 0.5274
Rb: 0.3253 0.6747 0.9726
Rb: 0.6747 0.3253 0.0274
Rb: 0.6747 0.3253 0.4726
Rb: 0.8135 0.1865 0.7500
Rb: 0.9555 0.0445 0.1068
Rb: 0.9555 0.0445 0.3932
I: 0.4648 0.5352 0.2500
I: 0.5352 0.4648 0.7500
O: 0.1445 0.8555 0.0565
O: 0.1445 0.8555 0.4435
O: 0.8555 0.1445 0.5565
O: 0.8555 0.1445 0.9435



Number 1: calculated total energy -37.12 eV per cell, raw formation energy -1.1910 eV per atom. Number 2: calculated total energy -28.27 eV per cell, raw formation energy -1.1572 eV per atom. Number 3: calculated total energy -52.62 eV per cell, raw formation energy -0.4899 eV per atom. Number 4: calculated total energy -50.46 eV per cell, raw formation energy -1.0430 eV per atom. Number 5: calculated total energy -32.51 eV per cell, raw formation energy -1.2152 eV per atom. Number 6: calculated total energy -24.85 eV per cell, raw formation energy -0.9949 eV per atom. Number 7: calculated total energy -35.48 eV per cell, raw formation energy -0.2499 eV per atom. Number 8: calculated total energy -32.40 eV per cell, raw formation energy -0.9700 eV per atom. Number 9: calculated total energy -56.54 eV per cell, raw formation energy -0.8362 eV per atom. Number 10: calculated total energy -32.10 eV per cell, raw formation energy -0.9451 eV per atom. Number 11: calculated total energy -26.10 eV per cell, raw formation energy -0.7865 eV per atom. Number 12: calculated total energy -49.46 eV per cell, raw formation energy -1.0533 eV per atom.